1.
A geometry-optimized Ac3La3PmZn2 structure, computed with PBE-GGA.

The space group is P-62m (No. 189) and the conventional cell measures 9.6083, 9.6083 and 3.8727 Å, with angles of 90.00, 90.00 and 120.00 degrees. Symmetry generates all atoms from Ac at (0.0000, 0.6870, 0.0000), La at (0.0000, 0.3768, 0.5000), Pm at (0.0000, 0.0000, 0.5000) and Zn at (0.3333, 0.6667, 0.0000).

The value obtained for the total moment is 0.000 Bohr magnetons per cell. The calculation puts the energy relative to the elements at 0 kJ per mole of atoms. As for the density of states at the Fermi level: 1.365 states/eV per atom. The value obtained for the total DFT energy (no corrections) is -0.2809 Ry per atom. As for the crystal system: hexagonal.

***

2.
A geometry-optimized LaAg2Pt structure, computed with PBE-GGA.

The space group is P2/m (No. 10) and the conventional cell measures 4.364, 5.003 and 4.391 Å, with angles of 90.00, 100.99 and 90.00 degrees. Symmetry generates all atoms from La at (0.000, 0.000, 0.000), Ag at (0.301, 0.500, 0.700) and Pt at (0.500, 0.000, 0.500).

The value obtained for the total moment is 0.000 Bohr magnetons per cell. The calculation puts the energy relative to the elements at -39 kJ per mole of atoms. As for the density of states at the Fermi level: 0.394 states/eV per atom. The value obtained for the total DFT energy (no corrections) is -0.3358 Ry per atom. As for the crystal system: monoclinic. The calculation puts the offset from the most stable computed form at 0.48 eV per formula unit.

***

3.
A geometry-optimized TaSnBr3 structure, computed with PBE-GGA.

The space group is Pm-3m (No. 221) and the conventional cell measures 5.220, 5.220 and 5.220 Å, with angles of 90.00, 90.00 and 90.00 degrees. Symmetry generates all atoms from Ta at (0.000, 0.000, 0.000), Sn at (0.500, 0.500, 0.500) and Br at (0.000, 0.000, 0.500).

The value obtained for the total moment is 2.814 Bohr magnetons per cell. As for the density of states at the Fermi level: 0.907 states/eV per atom. The value obtained for the total DFT energy (no corrections) is -0.2928 Ry per atom. As for the crystal system: cubic. The value obtained for the energy relative to the elements, uncorrected is 192 meV per atom. The calculation puts the offset from the most stable computed form at 0.00 eV per formula unit.

***

4.
A geometry-optimized BeSb2C structure, computed with PBE-GGA.

The space group is I-42d (No. 122) and the conventional cell measures 5.396, 5.396 and 10.567 Å, with angles of 90.00, 90.00 and 90.00 degrees. Symmetry generates all atoms from Be at (0.000, 0.000, 0.000), Sb at (0.227, 0.250, 0.625) and C at (0.000, 0.000, 0.500).

The value obtained for the total moment is 0.000 Bohr magnetons per cell. As for the density of states at the Fermi level: 0.000 states/eV per atom. The value obtained for the total DFT energy (no corrections) is -0.3440 Ry per atom. As for the crystal system: tetragonal. The value obtained for the energy relative to the elements, uncorrected is 618 meV per atom. The calculation puts the offset from the most stable computed form at 0.00 eV per formula unit.

***

5.
A geometry-optimized NdEr2Tm2 structure, computed with PBE-GGA.

The space group is P4/mbm (No. 127) and the conventional cell measures 9.354, 9.354 and 3.652 Å, with angles of 90.00, 90.00 and 90.00 degrees. Symmetry generates all atoms from Nd at (0.000, 0.000, 0.000), Er at (0.173, 0.327, 0.500) and Tm at (0.124, 0.624, 0.000).

The value obtained for the total moment is 0.000 Bohr magnetons per cell. The calculation puts the energy relative to the elements at 8 kJ per mole of atoms. As for the density of states at the Fermi level: 1.111 states/eV per atom. The value obtained for the total DFT energy (no corrections) is -0.3295 Ry per atom. As for the crystal system: tetragonal. The calculation puts the offset from the most stable computed form at 0.00 eV per formula unit.

***

6.
A geometry-optimized ScAl2In structure, computed with PBE-GGA.

The space group is P4/mmm (No. 123) and the conventional cell measures 3.099, 3.099 and 8.685 Å, with angles of 90.00, 90.00 and 90.00 degrees. Symmetry generates all atoms from Sc at (0.000, 0.000, 0.000), Al at (0.500, 0.500, 0.229) and In at (0.000, 0.000, 0.500).

The value obtained for the total moment is 0.189 Bohr magnetons per cell. The calculation puts the energy relative to the elements at -7 kJ per mole of atoms. As for the density of states at the Fermi level: 0.489 states/eV per atom. The value obtained for the total DFT energy (no corrections) is -0.3098 Ry per atom. As for the crystal system: tetragonal.